Below is a geometry-optimized TiAl5 structure, with properties calculated at the GGA-PBE level.

Cell and atoms, written as CIF:
```
data_TiAl5
_cell_length_a 4.9910
_cell_length_b 4.9910
_cell_length_c 9.0560
_cell_angle_alpha 90.00
_cell_angle_beta 90.00
_cell_angle_gamma 120.00
_symmetry_space_group_name_H-M 'P 63 2 2'
_symmetry_Int_Tables_number 182
_symmetry_space_group_name_Hall 'P 6c 2c'
loop_
_atom_site_label
_atom_site_type_symbol
_atom_site_fract_x
_atom_site_fract_y
_atom_site_fract_z
_atom_site_occupancy
Ti1 Ti 0.3333 0.6667 0.2500 1
Al1 Al 0.0000 0.0000 0.2500 1
Al2 Al 0.0000 0.3377 0.5000 1
Al3 Al 0.3333 0.6667 0.7500 1
```

For the energy relative to the elements, the calculation gives -0.18 eV per atom. For the excess energy over the best structure of this formula in the dataset, the calculation gives 0.102 eV/f.u.

=====

Below is a geometry-optimized SrScCo structure, with properties calculated at the GGA-PBE level.

Cell and atoms, written as CIF:
```
data_SrScCo
_cell_length_a 3.363
_cell_length_b 3.363
_cell_length_c 12.852
_cell_angle_alpha 90.00
_cell_angle_beta 90.00
_cell_angle_gamma 90.00
_symmetry_space_group_name_H-M 'I 4 m m'
_symmetry_Int_Tables_number 107
_symmetry_space_group_name_Hall 'I 4 -2'
loop_
_atom_site_label
_atom_site_type_symbol
_atom_site_fract_x
_atom_site_fract_y
_atom_site_fract_z
_atom_site_occupancy
Sr1 Sr 0.000 0.000 0.000 1
Sc1 Sc 0.000 0.000 0.257 1
Co1 Co 0.000 0.000 0.665 1
```

For the energy relative to the elements, the calculation gives 0.13 eV per atom. For the excess energy over the best structure of this formula in the dataset, the calculation gives 0.000 eV/f.u.

=====

Below is a geometry-optimized Cd3ReOs structure, with properties calculated at the GGA-PBE level.

Cell and atoms, written as CIF:
```
data_Cd3ReOs
_cell_length_a 5.139
_cell_length_b 5.139
_cell_length_c 5.139
_cell_angle_alpha 90.00
_cell_angle_beta 90.00
_cell_angle_gamma 90.00
_symmetry_space_group_name_H-M 'P m -3 m'
_symmetry_Int_Tables_number 221
_symmetry_space_group_name_Hall '-P 4 2 3'
loop_
_atom_site_label
_atom_site_type_symbol
_atom_site_fract_x
_atom_site_fract_y
_atom_site_fract_z
_atom_site_occupancy
Cd1 Cd 0.000 0.000 0.500 1
Re1 Re 0.500 0.500 0.500 1
Os1 Os 0.000 0.000 0.000 1
```

For the energy relative to the elements, the calculation gives 1.89 eV per atom. For the excess energy over the best structure of this formula in the dataset, the calculation gives 0.000 eV/f.u.

=====

Below is a geometry-optimized Ce3GeAs2 structure, with properties calculated at the GGA-PBE level.

Cell and atoms, written as CIF:
```
data_Ce3GeAs2
_cell_length_a 7.315
_cell_length_b 12.664
_cell_length_c 7.312
_cell_angle_alpha 90.00
_cell_angle_beta 109.48
_cell_angle_gamma 90.00
_symmetry_space_group_name_H-M 'C 1 2/c 1'
_symmetry_Int_Tables_number 15
_symmetry_space_group_name_Hall '-C 2yc'
loop_
_atom_site_label
_atom_site_type_symbol
_atom_site_fract_x
_atom_site_fract_y
_atom_site_fract_z
_atom_site_occupancy
Ce1 Ce 0.249 0.084 0.001 1
Ce2 Ce 0.250 0.250 0.500 1
Ge1 Ge 0.000 0.416 0.250 1
As1 As 0.000 0.083 0.250 1
As2 As 0.000 0.250 0.750 1
```

For the energy relative to the elements, the calculation gives -1.17 eV per atom.

=====

| no. | electronic total energy (eV/atom) | total magnetic moment (μB per formula unit) |
| --- | --- | --- |
| 1 | -4.619 | 0.5 |
| 2 | -4.908 | 0.3 |
| 3 | -3.392 | 5.2 |
| 4 | -6.459 | 1.6 |